No. 1
This record from Alexandria via LeMat-Bulk describes a relaxed Ca3TlCo crystal. The functional is PBE.

abc: 5.349 5.349 5.349
angles: 90.00 90.00 90.00
Sites, in units of the cell vectors:
Ca 0.000 0.000 0.500
Ca 0.000 0.500 0.000
Ca 0.500 0.000 0.000
Tl 0.500 0.500 0.500
Co 0.000 0.000 0.000

Calculated values
* density of states at the Fermi level: 4.12 states/eV per cell
* total moment: 0.00 μB/cell
* energy relative to the elements: 0.070 eV/atom
* SG: Pm-3m
* calculated volume: 153 Å³/f.u.
* ρ: 4160 kg/m3
* uncorrected energy: -3.0250 eV per atom
* energy above the lowest structure with this stoichiometry: 0 meV/atom



No. 2
This record from Alexandria via LeMat-Bulk describes a relaxed CaTl2Co2 crystal. The functional is PBE.

abc: 9.362 9.362 9.362
angles: 158.91 158.91 30.00
Sites, in units of the cell vectors:
Ca 0.000 0.000 0.000
Tl 0.372 0.372 0.000
Tl 0.628 0.628 0.000
Co 0.250 0.750 0.500
Co 0.750 0.250 0.500

Calculated values
* density of states at the Fermi level: 4.82 states/eV per cell
* total moment: 3.38 μB/cell
* energy relative to the elements: 0.185 eV/atom
* SG: I4/mmm
* calculated volume: 106 Å³/f.u.
* ρ: 8864 kg/m3
* uncorrected energy: -4.0037 eV per atom
* energy above the lowest structure with this stoichiometry: 0 meV/atom



No. 3
This record from Alexandria via LeMat-Bulk describes a relaxed CaTlCo3 crystal. The functional is PBE.

abc: 4.867 4.867 4.867
angles: 90.00 90.00 90.00
Sites, in units of the cell vectors:
Ca 0.000 0.000 0.000
Tl 0.500 0.500 0.500
Co 0.000 0.500 0.500
Co 0.500 0.000 0.500
Co 0.500 0.500 0.000

Calculated values
* density of states at the Fermi level: 40.70 states/eV per cell
* total moment: 4.51 μB/cell
* energy relative to the elements: 1.166 eV/atom
* SG: Pm-3m
* calculated volume: 115 Å³/f.u.
* ρ: 6066 kg/m3
* uncorrected energy: -3.9712 eV per atom
* energy above the lowest structure with this stoichiometry: 0 meV/atom



No. 4
This record from Alexandria via LeMat-Bulk describes a relaxed Ca4TlCo crystal. The functional is PBE.

abc: 6.498 6.498 6.498
angles: 60.00 60.00 60.00
Sites, in units of the cell vectors:
Ca 0.125 0.125 0.125
Ca 0.125 0.125 0.626
Ca 0.125 0.626 0.125
Ca 0.626 0.125 0.125
Tl 0.500 0.500 0.500
Co 0.750 0.750 0.750

Calculated values
* density of states at the Fermi level: 11.44 states/eV per cell
* total moment: 0.98 μB/cell
* energy relative to the elements: 0.684 eV/atom
* SG: F-43m
* calculated volume: 194 Å³/f.u.
* ρ: 3626 kg/m3
* uncorrected energy: -2.2287 eV per atom



No. 5
This record from Alexandria via LeMat-Bulk describes a relaxed CaTlV2Co crystal. The functional is PBE.

abc: 5.167 5.167 5.699
angles: 90.00 90.00 90.00
Sites, in units of the cell vectors:
Ca 0.000 0.000 0.000
Tl 0.000 0.000 0.500
V 0.000 0.500 0.500
V 0.500 0.000 0.500
Co 0.500 0.500 0.000

Calculated values
* density of states at the Fermi level: 7.98 states/eV per cell
* total moment: 8.61 μB/cell
* energy relative to the elements: 1.712 eV/atom
* SG: P4/mmm
* calculated volume: 152 Å³/f.u.
* ρ: 4424 kg/m3
* uncorrected energy: -4.2301 eV per atom



No. 6
This record from Alexandria via LeMat-Bulk describes a relaxed CaY2TlCo crystal. The functional is PBE.

abc: 5.145 5.145 5.387
angles: 90.00 90.00 90.00
Sites, in units of the cell vectors:
Ca 0.000 0.000 0.000
Y 0.000 0.500 0.500
Y 0.500 0.000 0.500
Tl 0.500 0.500 0.000
Co 0.000 0.000 0.500

Calculated values
* density of states at the Fermi level: 4.46 states/eV per cell
* total moment: 0.00 μB/cell
* energy relative to the elements: -0.072 eV/atom
* SG: P4/mmm
* calculated volume: 143 Å³/f.u.
* ρ: 5605 kg/m3
* uncorrected energy: -4.9527 eV per atom
* energy above the lowest structure with this stoichiometry: 5 meV/atom